Entry 1:
## MgSc5P6 (PBE-GGA)

Data for MgSc5P6 after structural relaxation.

Cell and atoms, written as POSCAR:
```
MgSc5P6
1.0
3.262 -5.649 0.000
3.262 5.649 0.000
-2.181 0.000 6.154
Mg Sc P
1 5 6
Cartesian
0.000 0.000 0.000
2.172 3.775 3.077
3.262 1.890 0.000
2.172 0.000 3.077
3.262 -1.890 0.000
2.172 -3.775 3.077
1.101 1.905 1.547
0.024 0.000 4.598
1.101 -1.905 1.547
3.243 1.905 4.607
4.320 0.000 1.556
3.243 -1.905 4.607
```

Values from the calculation:
**DOS(E_F)**: 4.0 states/eV per cell
**M_tot**: 0.000 μB per formula unit
**Formation enthalpy at 0 K**: -1.266 eV/atom

---

Entry 2:
## Y2ZrCo2 (PBE-GGA)

Data for Y2ZrCo2 after structural relaxation.

Cell and atoms, written as POSCAR:
```
Y2ZrCo2
1.0
6.710 0.000 0.000
0.000 6.710 0.000
0.000 0.000 4.547
Y Zr Co
4 2 4
Cartesian
1.195 2.160 0.000
2.160 5.515 0.000
4.551 1.195 0.000
5.515 4.551 0.000
0.000 0.000 2.274
3.355 3.355 2.274
0.788 4.143 2.274
2.567 0.788 2.274
4.143 5.922 2.274
5.922 2.567 2.274
```

Values from the calculation:
**DOS(E_F)**: 4.0 states/eV per cell
**M_tot**: 0.000 μB per formula unit
**Energy above the lowest structure with this stoichiometry**: 1.459 kcal/mol of atoms
**Formation enthalpy at 0 K**: -0.159 eV/atom

---

Entry 3:
## Cs2CdAsH (PBE-GGA)

Data for Cs2CdAsH after structural relaxation.

Cell and atoms, written as POSCAR:
```
Cs2CdAsH
1.0
7.837 0.000 0.000
0.000 4.561 0.000
-3.630 0.000 9.995
Cs Cd As H
4 2 2 2
Cartesian
-0.042 1.140 4.058
-1.718 1.140 9.482
5.926 3.421 0.513
4.250 3.421 5.936
2.718 3.421 2.484
1.490 1.140 7.511
0.193 3.421 7.126
4.015 1.140 2.869
0.943 3.421 1.794
3.265 1.140 8.201
```

Values from the calculation:
**M_tot**: 0.000 μB per formula unit
**Total energy**: -2.44 eV/atom

---

Entry 4:
## SrZr2Sb (PBE-GGA)

Data for SrZr2Sb after structural relaxation.

Cell and atoms, written as POSCAR:
```
SrZr2Sb
1.0
4.652 0.000 0.000
0.000 4.652 0.000
0.000 0.000 4.716
Sr Zr Sb
1 2 1
Cartesian
0.000 0.000 0.000
0.000 2.326 2.358
2.326 0.000 2.358
2.326 2.326 0.000
```

Values from the calculation:
**DOS(E_F)**: 4.3 states/eV per cell
**M_tot**: 0.000 μB per formula unit
**Total energy**: -5.73 eV/atom

---

Entry 5:
## Mg3PtAu (PBE-GGA)

Data for Mg3PtAu after structural relaxation.

Cell and atoms, written as POSCAR:
```
Mg3PtAu
1.0
4.936 0.000 0.000
0.000 4.936 0.000
0.000 0.000 4.936
Mg Pt Au
3 1 1
Cartesian
0.000 0.000 2.468
0.000 2.468 0.000
2.468 0.000 0.000
0.000 0.000 0.000
2.468 2.468 2.468
```

Values from the calculation:
**DOS(E_F)**: 1.8 states/eV per cell
**M_tot**: 0.000 μB per formula unit
**Energy above the lowest structure with this stoichiometry**: 9.447 kcal/mol of atoms
**Formation enthalpy at 0 K**: -0.225 eV/atom

---

Entry 6:
## IrAuSe2 (PBE-GGA)

Data for IrAuSe2 after structural relaxation.

Cell and atoms, written as POSCAR:
```
IrAuSe2
1.0
6.171 0.000 0.000
0.000 9.079 0.000
0.000 0.000 5.841
Ir Au Se
4 4 8
Cartesian
0.354 0.724 0.000
2.732 5.264 2.920
3.439 3.815 0.000
5.818 8.355 2.920
0.226 4.066 3.011
2.860 8.606 0.091
3.311 0.473 3.011
5.946 5.013 0.091
0.760 1.376 3.569
1.206 2.907 0.644
1.880 7.447 3.564
2.326 5.916 0.649
3.846 3.163 3.569
4.292 1.632 0.644
4.965 6.172 3.564
5.411 7.703 0.649
```

Values from the calculation:
**DOS(E_F)**: 3.7 states/eV per cell
**M_tot**: 0.000 μB per formula unit
**Total energy**: -4.67 eV/atom

---

M_tot of number 3 (Cs2CdAsH)?
0.000 μB per formula unit